# BaCdPb2O4 (PBE-GGA, relaxed)
# uncorrected formation energy: -1277.6 meV per atom
# theoretical density: 8346 kg/m³
# E: -161.23 eV for the cell shown
# crystal system: orthorhombic
data_BaCdPb2O4
_chemical_formula_sum 'Ba4 Cd4 Pb8 O16'
_space_group_name_H-M_alt 'I m m a'
_space_group_IT_number 74
_space_group_name_Hall '-I 2b 2'
_cell_length_a 7.417
_cell_length_b 7.457
_cell_length_c 10.477
_cell_angle_alpha 90.00
_cell_angle_beta 90.00
_cell_angle_gamma 90.00
loop_
_atom_site_label
_atom_site_type_symbol
_atom_site_fract_x
_atom_site_fract_y
_atom_site_fract_z
Ba1 Ba 0.000 0.000 0.000
Cd1 Cd 0.250 0.250 0.250
Pb1 Pb 0.000 0.000 0.500
Pb2 Pb 0.250 0.250 0.750
O1 O 0.000 0.015 0.253
O2 O 0.245 0.250 0.493



# BaCdPbO4 (PBE-GGA, relaxed)
# uncorrected formation energy: -1453.8 meV per atom
# theoretical density: 6853 kg/m³
# E: -146.22 eV for the cell shown
# crystal system: orthorhombic
data_BaCdPbO4
_chemical_formula_sum 'Ba4 Cd4 Pb4 O16'
_space_group_name_H-M_alt 'I m m a'
_space_group_IT_number 74
_space_group_name_Hall '-I 2b 2'
_cell_length_a 6.934
_cell_length_b 7.163
_cell_length_c 10.164
_cell_angle_alpha 90.00
_cell_angle_beta 90.00
_cell_angle_gamma 90.00
loop_
_atom_site_label
_atom_site_type_symbol
_atom_site_fract_x
_atom_site_fract_y
_atom_site_fract_z
Ba1 Ba 0.000 0.250 0.118
Cd1 Cd 0.000 0.000 0.500
Pb1 Pb 0.250 0.250 0.750
O1 O 0.000 0.043 0.742
O2 O 0.220 0.250 0.536



# Ba2CdPbO (PBE-GGA, relaxed)
# uncorrected formation energy: -1034.8 meV per atom
# theoretical density: 6639 kg/m³
# E: -18.60 eV for the cell shown
# crystal system: tetragonal
data_Ba2CdPbO
_chemical_formula_sum 'Ba2 Cd1 Pb1 O1'
_space_group_name_H-M_alt 'P 4/m m m'
_space_group_IT_number 123
_space_group_name_Hall '-P 4 2'
_cell_length_a 5.385
_cell_length_b 5.385
_cell_length_c 5.263
_cell_angle_alpha 90.00
_cell_angle_beta 90.00
_cell_angle_gamma 90.00
loop_
_atom_site_label
_atom_site_type_symbol
_atom_site_fract_x
_atom_site_fract_y
_atom_site_fract_z
Ba1 Ba 0.000 0.500 0.000
Cd1 Cd 0.000 0.000 0.500
Pb1 Pb 0.500 0.500 0.500
O1 O 0.000 0.000 0.000



# Ba2CdPbO4 (PBE-GGA, relaxed)
# uncorrected formation energy: -1670.9 meV per atom
# theoretical density: 7242 kg/m³
# E: -166.68 eV for the cell shown
# crystal system: orthorhombic
data_Ba2CdPbO4
_chemical_formula_sum 'Ba8 Cd4 Pb4 O16'
_space_group_name_H-M_alt 'I m m a'
_space_group_IT_number 74
_space_group_name_Hall '-I 2b 2'
_cell_length_a 7.503
_cell_length_b 7.605
_cell_length_c 10.580
_cell_angle_alpha 90.00
_cell_angle_beta 90.00
_cell_angle_gamma 90.00
loop_
_atom_site_label
_atom_site_type_symbol
_atom_site_fract_x
_atom_site_fract_y
_atom_site_fract_z
Ba1 Ba 0.000 0.000 0.000
Ba2 Ba 0.250 0.250 0.250
Cd1 Cd 0.000 0.000 0.500
Pb1 Pb 0.250 0.250 0.750
O1 O 0.000 0.004 0.739
O2 O 0.236 0.250 0.504